The following is a PBE calculation of AgHgTe2 after structural relaxation, from the Alexandria database. Values from VASP.

Values from the calculation:
- uncorrected formation energy (eV per atom) = 0.14
- total moment (μB per formula unit) = 0.00
- D(E_F) (states/eV/cell) = 2.319

```
&SYSTEM
  ibrav = 0, nat = 4, ntyp = 3
/
ATOMIC_SPECIES
Te 127.60 Te.upf
Hg 200.59 Hg.upf
Ag 107.87 Ag.upf
CELL_PARAMETERS angstrom
3.1643 0.0000 0.0000
0.0000 3.1643 0.0000
0.0000 0.0000 10.9018
ATOMIC_POSITIONS crystal
Te 0.0000 0.0000 0.9662
Te 0.5000 0.5000 0.3092
Hg 0.5000 0.5000 0.7100
Ag 0.0000 0.0000 0.5147
```